Below is a relaxed structure of BeReBr2, with properties calculated at the PBE level.

Cell: 3.198 3.198 7.962 Å, 90.00 90.00 90.00°
Last column: magnetic moment on the atom in μB.
Fractional positions:
1 Re 0.000 0.000 0.578  0.19
2 Be 0.500 0.500 0.681  -0.01
3 Br 0.000 0.000 0.892  0.02
4 Br 0.500 0.500 0.350  0.01

***

Below is a relaxed structure of PmSbAsO, with properties calculated at the PBE level.

Cell: 4.141 4.141 10.594 Å, 90.00 90.00 90.00°
Fractional positions:
1 As 0.500 0.000 0.225
2 As 0.000 0.500 0.775
3 Sb 0.000 0.000 0.000
4 Sb 0.500 0.500 0.000
5 O 0.500 0.500 0.500
6 O 0.000 0.000 0.500
7 Pm 0.500 0.000 0.604
8 Pm 0.000 0.500 0.396

***

| no. | formation energy without anion corrections (kJ per mole of atoms) | E_tot (eV for the cell shown) |
| --- | --- | --- |
| 1 | 43.81 | -17.704 |
| 2 | -132.51 | -47.948 |